The following is a DFT calculation (GGA-PBE) of a relaxed structure of YInW2.

Cell lengths 2.966, 5.026, 5.483 Å; angles 90.00, 96.42, 90.00 degrees
Space group P2/m (No. 10)
One atom of each set of equivalent atoms:
Y 0.000 0.000 0.000 [1 per cell]
In 0.500 0.000 0.500 [1 per cell]
W 0.323 0.500 0.776 [2 per cell]

Formation enthalpy at 0 K ... 0.544 eV/atom
DOS(E_F) ... 0.797 states/eV per atom
Magnetic moment ... 0.00 μB/f.u.



The following is a DFT calculation (GGA-PBE) of a relaxed structure of YInW2.

Cell lengths 3.308, 3.308, 7.541 Å; angles 90.00, 90.00, 90.00 degrees
Space group P4mm (No. 99)
One atom of each set of equivalent atoms:
Y 0.000 0.000 0.000 [1 per cell]
In 0.500 0.500 0.312 [1 per cell]
W 0.000 0.000 0.558 [1 per cell]
W 0.500 0.500 0.731 [1 per cell]

Formation enthalpy at 0 K ... 0.157 eV/atom
DOS(E_F) ... 0.393 states/eV per atom
Magnetic moment ... 0.00 μB/f.u.



The following is a DFT calculation (GGA-PBE) of a relaxed structure of YInW3.

Cell lengths 4.943, 4.943, 4.943 Å; angles 90.00, 90.00, 90.00 degrees
Space group Pm-3m (No. 221)
One atom of each set of equivalent atoms:
Y 0.000 0.000 0.000 [1 per cell]
In 0.500 0.500 0.500 [1 per cell]
W 0.000 0.500 0.500 [3 per cell]

Formation enthalpy at 0 K ... 2.277 eV/atom
Energy above the most stable polymorph in this dataset ... 0 meV per atom
DOS(E_F) ... 1.656 states/eV per atom
Magnetic moment ... 0.00 μB/f.u.



The following is a DFT calculation (GGA-PBE) of a relaxed structure of YInW2.

Cell lengths 10.245, 2.885, 5.410 Å; angles 90.00, 98.96, 90.00 degrees
Space group C2/m (No. 12)
One atom of each set of equivalent atoms:
Y 0.000 0.000 0.000 [2 per cell]
In 0.000 0.500 0.500 [2 per cell]
W 0.243 0.000 0.741 [4 per cell]

Formation enthalpy at 0 K ... 0.603 eV/atom
DOS(E_F) ... 0.856 states/eV per atom
Magnetic moment ... 0.00 μB/f.u.



The following is a DFT calculation (GGA-PBE) of a relaxed structure of YInW2.

Cell lengths 3.774, 4.383, 9.563 Å; angles 90.00, 90.00, 90.00 degrees
Space group Cmmm (No. 65)
One atom of each set of equivalent atoms:
Y 0.000 0.000 0.000 [2 per cell]
In 0.000 0.000 0.500 [2 per cell]
W 0.000 0.500 0.264 [4 per cell]

Formation enthalpy at 0 K ... 0.668 eV/atom
DOS(E_F) ... 0.537 states/eV per atom
Magnetic moment ... 0.00 μB/f.u.



The following is a DFT calculation (GGA-PBE) of a relaxed structure of YInW2.

Cell lengths 2.885, 4.595, 6.175 Å; angles 90.00, 90.00, 90.00 degrees
Space group Pmmm (No. 47)
One atom of each set of equivalent atoms:
Y 0.000 0.000 0.000 [1 per cell]
In 0.000 0.000 0.500 [1 per cell]
W 0.500 0.500 0.291 [2 per cell]

Formation enthalpy at 0 K ... 0.681 eV/atom
DOS(E_F) ... 1.083 states/eV per atom
Magnetic moment ... 0.00 μB/f.u.



The following is a DFT calculation (GGA-PBE) of a relaxed structure of YInW2.

Cell lengths 3.384, 4.951, 9.665 Å; angles 90.00, 90.00, 90.00 degrees
Space group Cmm2 (No. 35)
One atom of each set of equivalent atoms:
Y 0.000 0.000 0.000 [2 per cell]
In 0.000 0.500 0.290 [2 per cell]
W 0.000 0.000 0.538 [2 per cell]
W 0.000 0.500 0.742 [2 per cell]

Formation enthalpy at 0 K ... 0.355 eV/atom
DOS(E_F) ... 0.478 states/eV per atom
Magnetic moment ... 0.00 μB/f.u.



The following is a DFT calculation (GGA-PBE) of a relaxed structure of YInW2.

Cell lengths 7.984, 7.984, 5.549 Å; angles 90.00, 90.00, 90.00 degrees
Space group I-42d (No. 122)
One atom of each set of equivalent atoms:
Y 0.000 0.000 0.000 [4 per cell]
In 0.000 0.000 0.500 [4 per cell]
W 0.218 0.250 0.625 [8 per cell]

Formation enthalpy at 0 K ... 1.209 eV/atom
DOS(E_F) ... 0.886 states/eV per atom
Magnetic moment ... 0.00 μB/f.u.



- Number 4 is which compound?
  YInW2



- Among the records above, which one has the lowest DOS(E_F)?
  number 2



- DOS(E_F) of number 8 (YInW2)?
  0.886 states/eV per atom



- Which formula does entry 4 have?
  YInW2